TiFe3Ag | PBE-GGA | relaxed

Summary:
- M_tot: 0.133 μB per atom
- E: -25.43 eV for the cell shown
- Fermi-level density of states: 17.2 states/eV per cell
- Polymorph energy (0 for the lowest one): 1038 meV/atom
- Energy of formation from the pure elements: 2.141 eV per atom

a = 4.5073 Å, b = 4.5073 Å, c = 4.5073 Å
α = 90.00°, β = 90.00°, γ = 90.00°
Last column: nearest neighbours and their distance in Å.
Atoms (fractional coordinates):
Fe 0.0000 0.5000 0.0000  2 Ag 2.25
Fe 0.0000 0.0000 0.5000  2 Ag 2.25
Fe 0.5000 0.0000 0.0000  2 Ag 2.25
Ag 0.0000 0.0000 0.0000  6 Fe 2.25
Ti 0.5000 0.5000 0.5000  12 Fe 3.19